[1]
Entry from Alexandria: a relaxed AlCu2Cl crystal (PBE-GGA).

Unit cell a=3.1021 b=3.1021 c=7.7481 alpha=90.00 beta=90.00 gamma=121.01
With the nearest neighbours (Å) after each atom.
Sites, in units of the cell vectors:
Al (0.0000, 0.0000, 0.0000)  4 Cu 2.46
Cu (0.5000, 0.5000, 0.2489)  2 Al 2.46, 2 Cl 2.47
Cu (0.5000, 0.5000, 0.7511)  2 Al 2.46, 2 Cl 2.47
Cl (0.0000, 0.0000, 0.5000)  4 Cu 2.47

Output
As for the space group: Cmmm. The calculation puts the magnetic moment at 0.00 μB/cell. Its distance to the lowest polymorph of the same formula is 206 meV/atom. The theoretical density is 4.9 g cm⁻³. The uncorrected formation energy comes out at 19 meV/atom.

[2]
Entry from Alexandria: a relaxed AlCu2Cl crystal (PBE-GGA).

Unit cell a=2.8488 b=4.1924 c=5.4250 alpha=90.00 beta=90.00 gamma=90.00
With the nearest neighbours (Å) after each atom.
Sites, in units of the cell vectors:
Al (0.0000, 0.0000, 0.0000)  4 Cu 2.53
Cu (0.0000, 0.5000, 0.5000)  4 Cl 2.53
Cu (0.5000, 0.5000, 0.0000)  4 Al 2.53
Cl (0.5000, 0.0000, 0.5000)  4 Cu 2.53

Output
As for the space group: Pmmm. The calculation puts the magnetic moment at 0.00 μB/cell. Its distance to the lowest polymorph of the same formula is 324 meV/atom. The theoretical density is 4.9 g cm⁻³. The uncorrected formation energy comes out at 137 meV/atom.

[3]
Entry from Alexandria: a relaxed AlCu2Cl8 crystal (PBE-GGA).

Unit cell a=7.4856 b=7.4856 c=6.1136 alpha=103.10 beta=103.10 gamma=91.44
With the nearest neighbours (Å) after each atom.
Sites, in units of the cell vectors:
Al (0.0000, 0.0000, 0.0000)  6 Cl 2.30-2.45
Cu (0.1876, 0.1876, 0.6611)  4 Cl 2.19-2.33
Cu (0.8124, 0.8124, 0.3389)  4 Cl 2.19-2.33
Cl (0.0593, 0.7594, 0.1762)  1 Cu 2.29, 1 Al 2.30
Cl (0.2140, 0.2140, 0.3198)  1 Cu 2.19, 1 Al 2.45
Cl (0.2406, 0.9407, 0.8238)  1 Cu 2.29, 1 Al 2.30
Cl (0.4222, 0.4222, 0.8292)  1 Cl 2.19, 1 Cu 2.33
Cl (0.5778, 0.5778, 0.1708)  1 Cl 2.19, 1 Cu 2.33
Cl (0.7594, 0.0593, 0.1762)  1 Cu 2.29, 1 Al 2.30
Cl (0.7860, 0.7860, 0.6802)  1 Cu 2.19, 1 Al 2.45
Cl (0.9407, 0.2406, 0.8238)  1 Cu 2.29, 1 Al 2.30

Output
As for the space group: C2/m. The calculation puts the magnetic moment at 1.09 μB/cell. Its distance to the lowest polymorph of the same formula is 0 meV/atom. The theoretical density is 2.2 g cm⁻³. The uncorrected formation energy comes out at -736 meV/atom.

[4]
Entry from Alexandria: a relaxed AlCu2Cl crystal (PBE-GGA).

Unit cell a=6.3549 b=6.3549 c=6.3549 alpha=152.52 beta=144.56 gamma=45.41
With the nearest neighbours (Å) after each atom.
Sites, in units of the cell vectors:
Al (0.0000, 0.0000, 0.0000)  6 Cu 2.52-2.58, 2 Cl 2.57
Cu (0.4506, 0.4506, 0.0000)  2 Cu 2.46, 4 Al 2.52
Cu (0.8211, 0.3211, 0.5000)  2 Cu 2.46, 2 Al 2.58
Cl (0.1769, 0.6769, 0.5000)  2 Al 2.57

Output
As for the space group: Imm2. The calculation puts the magnetic moment at 0.00 μB/cell. Its distance to the lowest polymorph of the same formula is 180 meV/atom. The theoretical density is 4.6 g cm⁻³. The uncorrected formation energy comes out at -8 meV/atom.